Fe2PtRh3: optimized geometry, PBE.

Structure (POSCAR):
```
Fe2PtRh3
1.0
-5.575 -1.027 5.489
-3.775 -5.022 -4.774
7.572 -1.199 1.795
Rh Pt Fe
12 4 8
Direct
0.313 0.313 0.000
0.937 0.437 0.500
0.125 0.875 0.750
0.563 0.437 0.500
0.125 0.375 0.250
0.125 0.875 0.250
0.687 0.313 0.000
0.313 0.687 0.000
0.563 0.063 0.500
0.625 0.875 0.750
0.937 0.063 0.500
0.687 0.687 0.000
0.689 0.689 0.377
0.311 0.311 0.623
0.939 0.439 0.877
0.561 0.061 0.123
0.911 0.734 0.821
0.984 0.661 0.321
0.266 0.089 0.179
0.911 0.088 0.821
0.912 0.089 0.179
0.338 0.661 0.321
0.339 0.662 0.679
0.339 0.016 0.679
```

Values from the calculation:
formation energy: 0.0872 eV/atom

HfTa3Au: optimized geometry, PBE.

Structure (POSCAR):
```
HfTa3Au
1.0
-4.258 0.936 2.316
2.066 -1.253 4.305
1.404 4.682 0.689
Hf Ta Au
1 3 1
Direct
0.500 0.500 0.500
0.000 0.500 0.000
0.500 0.000 0.000
0.000 0.000 0.500
0.000 0.000 0.000
```

Values from the calculation:
formation energy: 1.5569 eV/atom
excess energy over the best structure of this formula in the dataset: 0.0 meV/atom

CsTaOsO6: optimized geometry, PBE.

Structure (POSCAR):
```
CsTaOsO6
1.0
-0.875 2.433 -7.008
-5.891 -4.217 -0.728
0.372 4.800 5.601
O Os Cs Ta
12 2 2 2
Direct
0.187 0.937 0.373
0.546 0.296 0.092
0.555 0.925 0.746
0.808 0.075 0.254
0.192 0.322 0.746
0.555 0.322 0.746
0.813 0.063 0.627
0.445 0.678 0.254
0.192 0.925 0.746
0.454 0.704 0.908
0.808 0.678 0.254
0.445 0.075 0.254
0.500 0.500 0.000
0.500 0.000 0.000
0.870 0.620 0.740
0.130 0.380 0.260
0.500 0.000 0.500
0.000 0.000 0.500
```

Values from the calculation:
uncorrected energy: -7.87 eV/atom